Entry from the Alexandria database: a geometry-optimized YEr4Se5 structure (GGA-PBE).

```
YEr4Se5
1.0
5.166 0.000 2.492
2.583 6.390 1.246
-0.193 0.000 7.001
Se Er Y
5 4 1
Cartesian
4.051 1.302 4.815
2.022 3.813 2.421
2.591 0.000 1.250
3.514 5.088 5.929
5.544 2.577 8.322
1.477 1.254 3.551
4.626 3.833 3.624
6.089 5.136 7.192
2.940 2.557 7.120
0.009 0.000 0.004
```

**D(E_F)**: 4.769 states/eV/f.u.
**Size of the total moment**: 0.00 Bohr magnetons per cell
**Formation energy (no corrections)**: -1.7058 eV/atom
**Mass density**: 8.2 Mg/m³